TmPaCoO6: relaxed, GGA+U.

Final energy: -7.96 eV/atom

Geometry as CIF:
```
data_TmPaCoO6
_space_group_name_H-M_alt 'P 3 1 2'
_space_group_IT_number 149
_cell_length_a 5.2332
_cell_length_b 5.2332
_cell_length_c 4.8030
_cell_angle_alpha 90.00
_cell_angle_beta 90.00
_cell_angle_gamma 120.00
loop_
_space_group_symop_operation_xyz
'x,y,z'
'-y,x-y,z'
'-x+y,-x,z'
'-y,-x,-z'
'-x+y,y,-z'
'x,x-y,-z'
loop_
_atom_site_label
_atom_site_type_symbol
_atom_site_fract_x
_atom_site_fract_y
_atom_site_fract_z
_atom_site_occupancy
Tm1 Tm 0.0000 0.0000 0.0000 1
Pa1 Pa 0.6667 0.3333 0.5000 1
Co1 Co 0.3333 0.6667 0.0000 1
O1 O 0.0256 0.3744 0.2319 1
```